[1]
Entry from Alexandria: a relaxed structure of KLaNi (PBEsol).

POSCAR file:
```
KLaNi
1.0
3.942 0.000 0.000
-1.971 3.414 0.000
0.000 0.000 7.556
La Ni K
1 1 1
direct
0.333 0.667 0.557
0.667 0.333 0.375
0.000 0.000 0.068
```

Properties
VASP energy = -3.961 eV/atom
volume = 102 Å³ per cell

=====

[2]
Entry from Alexandria: a relaxed structure of KLaNi3 (PBEsol).

POSCAR file:
```
KLaNi3
1.0
-2.747 -0.279 -4.079
-3.768 -1.735 2.656
-1.588 4.602 0.754
K Ni La
1 3 1
direct
0.500 0.500 0.500
0.000 0.500 0.000
0.000 0.000 0.500
0.500 0.000 0.000
0.000 0.000 0.000
```

Properties
VASP energy = -3.882 eV/atom
volume = 120 Å³ per cell

=====

[3]
Entry from Alexandria: a relaxed structure of KLaNiSn2 (PBEsol).

POSCAR file:
```
KLaNiSn2
1.0
4.791 0.000 0.000
0.000 6.094 0.000
0.000 0.000 6.094
Sn La K Ni
2 1 1 1
direct
0.000 0.500 0.000
0.000 0.000 0.500
0.000 0.000 0.000
0.500 0.500 0.500
0.500 0.000 0.000
```

Properties
VASP energy = -3.693 eV/atom
volume = 178 Å³ per cell

=====

[4]
Entry from Alexandria: a relaxed structure of KLa2O2 (PBEsol).

POSCAR file:
```
KLa2O2
1.0
4.151 0.000 0.000
0.000 4.151 0.000
-2.075 -2.075 9.748
La O K
2 2 1
direct
0.308 0.308 0.615
0.692 0.692 0.385
0.750 0.250 0.500
0.250 0.750 0.500
0.000 0.000 0.000
```

Properties
volume = 168 Å³ per cell
E_form (uncorrected) = -11.0 eV per formula unit

=====

[5]
Entry from Alexandria: a relaxed structure of KLaP4O12 (PBEsol).

POSCAR file:
```
KLaP4O12
1.0
7.344 0.004 0.000
-0.279 8.092 0.000
0.000 0.000 8.566
K O P La
2 24 8 2
direct
0.269 0.719 0.432
0.731 0.281 0.932
0.314 0.075 0.517
0.546 0.271 0.371
0.170 0.389 0.500
0.392 0.432 0.945
0.557 0.961 0.343
0.830 0.611 0.000
0.970 0.530 0.301
0.538 0.349 0.658
0.169 0.654 0.014
0.918 0.821 0.516
0.686 0.925 0.017
0.009 0.782 0.798
0.991 0.218 0.298
0.831 0.346 0.514
0.688 0.868 0.723
0.312 0.132 0.223
0.082 0.179 0.016
0.961 0.068 0.707
0.454 0.729 0.871
0.039 0.932 0.207
0.030 0.470 0.801
0.462 0.651 0.158
0.608 0.568 0.445
0.443 0.039 0.843
0.899 0.893 0.676
0.378 0.605 0.005
0.568 0.901 0.876
0.002 0.382 0.401
0.432 0.099 0.376
0.622 0.395 0.505
0.998 0.618 0.901
0.101 0.107 0.176
0.765 0.758 0.253
0.235 0.242 0.753
```

Properties
volume = 509 Å³ per cell
E_form (uncorrected) = -44.7 eV per formula unit

=====

[6]
Entry from Alexandria: a relaxed structure of KLaTa2O7 (PBEsol).

POSCAR file:
```
KLaTa2O7
1.0
-3.089 -0.999 -2.118
-2.031 -0.623 3.256
-2.340 10.845 -1.705
Ta O La K
2 7 1 1
direct
0.500 0.398 0.796
0.500 0.601 0.202
0.000 0.418 0.836
0.500 0.501 0.001
0.500 0.083 0.166
0.500 0.317 0.634
0.000 0.583 0.166
0.500 0.683 0.366
0.500 0.918 0.837
0.000 0.999 0.998
0.000 0.234 0.469
```

Properties
volume = 167 Å³ per cell
E_form (uncorrected) = -32.5 eV per formula unit

=====

[7]
Entry from Alexandria: a relaxed structure of K2La2Ti3O10 (PBEsol).

POSCAR file:
```
K2La2Ti3O10
1.0
-0.541 -3.316 1.915
1.528 -1.960 -2.962
12.926 3.946 6.579
Ti K O La
3 2 10 2
direct
0.860 0.860 0.720
0.000 0.000 0.000
0.140 0.140 0.280
0.708 0.708 0.415
0.292 0.292 0.585
0.627 0.127 0.253
0.065 0.065 0.129
0.199 0.199 0.399
0.873 0.373 0.747
0.935 0.935 0.871
0.000 0.500 0.000
0.500 0.000 0.000
0.801 0.801 0.601
0.373 0.873 0.747
0.127 0.627 0.253
0.429 0.429 0.857
0.571 0.571 0.143
```

Properties
volume = 221 Å³ per cell
E_form (uncorrected) = -52.3 eV per formula unit

=====

[8]
Entry from Alexandria: a relaxed structure of KLaOs3 (PBEsol).

POSCAR file:
```
KLaOs3
1.0
4.968 0.000 0.000
0.000 4.968 0.000
0.000 0.000 4.968
K Os La
1 3 1
direct
0.500 0.500 0.500
0.000 0.500 0.000
0.500 0.000 0.000
0.000 0.000 0.500
0.000 0.000 0.000
```

Properties
VASP energy = -5.918 eV/atom
volume = 123 Å³ per cell

=====

[9]
Entry from Alexandria: a relaxed structure of KLaOs2 (PBEsol).

POSCAR file:
```
KLaOs2
1.0
3.962 0.000 0.000
0.000 3.962 0.000
0.000 0.000 7.163
K La Os
1 1 2
direct
0.500 0.500 0.000
0.500 0.500 0.500
0.000 0.000 0.659
0.000 0.000 0.341
```

Properties
volume = 112 Å³ per cell
relative energy among the computed polymorphs = 0 meV per atom

=====

[10]
Entry from Alexandria: a relaxed structure of KLaOs2 (PBEsol).

POSCAR file:
```
KLaOs2
1.0
-3.611 -1.481 -0.713
1.643 -3.188 -1.696
1.059 0.049 5.571
K Os La
1 2 1
direct
0.500 0.500 0.000
0.250 0.750 0.500
0.750 0.250 0.500
0.000 0.000 0.000
```

Properties
volume = 78 Å³ per cell
relative energy among the computed polymorphs = 62 meV per atom

=====

[11]
Entry from Alexandria: a relaxed structure of KLaOs2 (PBEsol).

POSCAR file:
```
KLaOs2
1.0
3.961 0.000 0.000
0.000 3.961 0.000
0.000 0.000 4.941
K La Os
1 1 2
direct
0.500 0.500 0.500
0.000 0.000 0.500
0.000 0.500 0.000
0.500 0.000 0.000
```

Properties
volume = 77 Å³ per cell
relative energy among the computed polymorphs = 69 meV per atom

=====

[12]
Entry from Alexandria: a relaxed structure of KLa2Os (PBEsol).

POSCAR file:
```
KLa2Os
1.0
-0.055 -3.710 1.552
5.473 -1.118 2.732
0.279 0.409 6.199
La K Os
2 1 1
direct
0.816 0.184 0.184
0.184 0.816 0.816
0.000 0.500 0.500
0.500 0.000 0.000
```

Properties
volume = 127 Å³ per cell
relative energy among the computed polymorphs = 313 meV per atom

=====

[13]
Entry from Alexandria: a relaxed structure of K2LaOs (PBEsol).

POSCAR file:
```
K2LaOs
1.0
4.783 0.000 0.000
0.000 4.783 0.000
0.000 0.000 5.518
K La Os
2 1 1
direct
0.000 0.000 0.263
0.000 0.000 0.737
0.500 0.500 0.000
0.500 0.500 0.500
```

Properties
VASP energy = -3.661 eV/atom
volume = 126 Å³ per cell

=====

[14]
Entry from Alexandria: a relaxed structure of KLa2Os (PBEsol).

POSCAR file:
```
KLa2Os
1.0
-1.464 3.138 0.651
-3.204 -1.424 -0.346
-0.141 -2.301 10.780
La K Os
2 1 1
direct
0.000 0.000 0.346
0.000 0.000 0.654
0.500 0.500 0.000
0.500 0.500 0.500
```

Properties
volume = 137 Å³ per cell
relative energy among the computed polymorphs = 68 meV per atom

=====

[15]
Entry from Alexandria: a relaxed structure of KLaOs2 (PBEsol).

POSCAR file:
```
KLaOs2
1.0
3.210 0.000 0.000
0.000 5.286 0.000
0.000 -2.643 4.725
K Os La
1 2 1
direct
0.500 0.000 0.000
0.000 0.000 0.500
0.000 0.500 0.500
0.500 0.500 0.000
```

Properties
volume = 80 Å³ per cell
relative energy among the computed polymorphs = 37 meV per atom

=====

[16]
Entry from Alexandria: a relaxed structure of KLaOs2 (PBEsol).

POSCAR file:
```
KLaOs2
1.0
-2.527 -0.893 0.983
-0.776 -1.453 -4.992
3.642 -3.349 3.011
K La Os
1 1 2
direct
0.500 0.000 0.000
0.000 0.500 0.000
0.000 0.000 0.500
0.500 0.500 0.500
```

Properties
volume = 75 Å³ per cell
relative energy among the computed polymorphs = 8 meV per atom

=====

[17]
Entry from Alexandria: a relaxed structure of KLa2Os (PBEsol).

POSCAR file:
```
KLa2Os
1.0
-0.181 2.847 3.094
-1.469 -3.894 0.635
10.349 -1.352 1.850
La Os K
2 1 1
direct
0.788 0.575 0.861
0.212 0.425 0.139
0.500 0.000 0.000
0.000 0.000 0.500
```

Properties
volume = 158 Å³ per cell
relative energy among the computed polymorphs = 0 meV per atom

=====

[18]
Entry from Alexandria: a relaxed structure of KLa3P (PBEsol).

POSCAR file:
```
KLa3P
1.0
-5.434 0.792 -1.683
-0.933 -5.656 0.352
-1.609 0.607 5.480
La K P
3 1 1
direct
0.000 0.500 0.000
0.000 0.000 0.500
0.500 0.000 0.000
0.500 0.500 0.500
0.000 0.000 0.000
```

Properties
VASP energy = -4.846 eV/atom
volume = 189 Å³ per cell

=====

[19]
Entry from Alexandria: a relaxed structure of KLaP2S6 (PBEsol).

POSCAR file:
```
KLaP2S6
1.0
7.508 0.000 0.000
0.000 11.235 0.015
0.000 -3.999 11.226
K S P La
4 24 8 4
direct
0.408 0.129 0.871
0.908 0.371 0.129
0.592 0.871 0.129
0.092 0.629 0.871
0.795 0.412 0.872
0.691 0.139 0.673
0.813 0.933 0.412
0.713 0.641 0.223
0.313 0.567 0.588
0.213 0.859 0.777
0.309 0.861 0.327
0.981 0.318 0.553
0.187 0.067 0.588
0.809 0.639 0.673
0.481 0.182 0.447
0.519 0.818 0.553
0.787 0.141 0.223
0.205 0.588 0.128
0.287 0.359 0.777
0.476 0.371 0.116
0.024 0.871 0.116
0.524 0.629 0.884
0.295 0.088 0.128
0.191 0.361 0.327
0.976 0.129 0.884
0.687 0.433 0.412
0.019 0.682 0.447
0.705 0.912 0.872
0.881 0.233 0.790
0.898 0.753 0.330
0.602 0.253 0.330
0.381 0.267 0.210
0.398 0.747 0.670
0.102 0.247 0.670
0.619 0.733 0.790
0.119 0.767 0.210
0.393 0.597 0.351
0.607 0.403 0.649
0.107 0.097 0.351
0.893 0.903 0.649
```

Properties
volume = 947 Å³ per cell
E_form (uncorrected) = -10.4 eV per formula unit

=====

[20]
Entry from Alexandria: a relaxed structure of K2LaP2Se7 (PBEsol).

POSCAR file:
```
K2LaP2Se7
1.0
-3.454 -4.777 4.121
2.116 -6.795 -6.102
16.993 -2.113 11.792
P Se K La
8 28 8 4
direct
0.017 0.581 0.543
0.517 0.919 0.957
0.983 0.419 0.457
0.022 0.409 0.831
0.483 0.081 0.043
0.522 0.091 0.669
0.978 0.591 0.169
0.478 0.909 0.331
0.729 0.058 0.103
0.595 0.308 0.718
0.405 0.692 0.282
0.235 0.983 0.391
0.763 0.987 0.906
0.095 0.192 0.782
0.229 0.442 0.397
0.905 0.808 0.218
0.237 0.013 0.094
0.735 0.517 0.109
0.963 0.547 0.753
0.265 0.483 0.891
0.284 0.085 0.602
0.271 0.942 0.897
0.216 0.585 0.102
0.037 0.453 0.247
0.947 0.215 0.498
0.737 0.487 0.406
0.784 0.415 0.898
0.771 0.558 0.603
0.447 0.285 0.002
0.537 0.047 0.253
0.263 0.513 0.594
0.765 0.017 0.609
0.053 0.785 0.502
0.716 0.915 0.398
0.463 0.953 0.747
0.553 0.715 0.998
0.984 0.257 0.013
0.429 0.331 0.180
0.571 0.669 0.820
0.929 0.169 0.320
0.016 0.743 0.987
0.516 0.757 0.513
0.484 0.243 0.487
0.071 0.831 0.680
0.977 0.299 0.649
0.023 0.701 0.351
0.523 0.799 0.149
0.477 0.201 0.851
```

Properties
volume = 1393 Å³ per cell
E_form (uncorrected) = -10.6 eV per formula unit

=====

[21]
Entry from Alexandria: a relaxed structure of K8LaP4Se16 (PBEsol).

POSCAR file:
```
K8LaP4Se16
1.0
-3.971 -5.296 6.065
4.224 -8.290 -4.474
7.337 7.585 4.784
P K La Se
4 8 1 16
direct
0.834 0.870 0.251
0.583 0.130 0.749
0.417 0.381 0.251
0.166 0.619 0.749
0.797 0.668 0.828
0.031 0.161 0.828
0.295 0.795 0.590
0.745 0.745 0.491
0.255 0.255 0.509
0.969 0.332 0.172
0.203 0.839 0.172
0.705 0.205 0.410
0.500 0.500 0.000
0.425 0.610 0.781
0.265 0.495 0.137
0.278 0.153 0.151
0.128 0.505 0.863
0.735 0.358 0.863
0.467 0.493 0.479
0.533 0.014 0.521
0.872 0.642 0.137
0.012 0.986 0.479
0.575 0.829 0.219
0.644 0.390 0.219
0.356 0.171 0.781
0.126 0.847 0.849
0.722 0.001 0.849
0.874 0.999 0.151
0.988 0.507 0.521
```

Properties
volume = 867 Å³ per cell
E_form (uncorrected) = -23.3 eV per formula unit